Record 1
BeFe2P | GGA-PBE | relaxed

Unit cell a=3.526 b=2.850 c=4.189 alpha=70.08 beta=90.00 gamma=90.00
Site moments in Bohr magnetons follow the coordinates.
Element x y z (fractional)
P 0.000 0.709 0.457  -0.03
Fe 0.000 0.989 0.896  0.72
Fe 0.500 0.264 0.348  0.76
Be 0.500 0.538 0.798  -0.04

Energy above the most stable polymorph in this dataset (meV per atom): 114
Formation energy from the elements (kJ/mol of atoms): -32
Space-group type: Amm2, No. 38

Record 2
LiCeGe2 | GGA-PBE | relaxed

Unit cell a=4.200 b=4.393 c=4.393 alpha=90.00 beta=90.00 gamma=90.00
Element x y z (fractional)
Ge 0.000 0.000 0.500
Ge 0.000 0.500 0.000
Ce 0.500 0.500 0.500
Li 0.500 0.000 0.000

Energy above the most stable polymorph in this dataset (meV per atom): 111
Formation energy from the elements (kJ/mol of atoms): -49
Space-group type: P4/mmm, No. 123

Record 3
TaPbAu2 | GGA-PBE | relaxed

Unit cell a=3.115 b=3.118 c=9.119 alpha=69.87 beta=90.00 gamma=90.00
Element x y z (fractional)
Au 0.000 0.035 0.964
Au 0.000 0.465 0.536
Pb 0.500 0.250 0.250
Ta 0.500 0.750 0.750

Formation energy from the elements (kJ/mol of atoms): 3
Space-group type: P2/m, No. 10

Record 4
Cr2SbC | GGA-PBE | relaxed

Unit cell a=4.197 b=4.197 c=4.197 alpha=60.00 beta=60.00 gamma=60.00
Site moments in Bohr magnetons follow the coordinates.
Element x y z (fractional)
Sb 0.500 0.500 0.500  -0.09
C 0.000 0.000 0.000  -0.19
Cr 0.250 0.250 0.250  1.27
Cr 0.750 0.750 0.750  1.27

Space-group type: Fm-3m, No. 225
Formation energy (no corrections) (eV per atom): 1.280

Record 5
TbEuMg | GGA-PBE | relaxed

Unit cell a=3.424 b=5.614 c=5.614 alpha=120.00 beta=90.00 gamma=90.00
Site moments in Bohr magnetons follow the coordinates.
Element x y z (fractional)
Eu 0.966 0.000 0.000  6.90
Mg 0.677 0.667 0.333  -0.01
Tb 0.357 0.333 0.667  0.02

Energy above the most stable polymorph in this dataset (meV per atom): 72
Formation energy from the elements (kJ/mol of atoms): 7
Space-group type: P3m1, No. 156

Record 6
TlInP2O | GGA-PBE | relaxed

Unit cell a=5.247 b=5.247 c=4.151 alpha=90.00 beta=90.00 gamma=90.00
Element x y z (fractional)
P 0.000 0.500 0.000
P 0.500 0.000 0.000
Tl 0.000 0.000 0.000
O 0.000 0.000 0.500
In 0.500 0.500 0.500

Energy above the most stable polymorph in this dataset (meV per atom): 316
Space-group type: P4/mmm, No. 123
Formation energy (no corrections) (eV per atom): 0.783

Record 7
CaInAg2 | GGA-PBE | relaxed

Unit cell a=3.632 b=3.632 c=6.957 alpha=90.00 beta=90.00 gamma=90.00
Element x y z (fractional)
Ca 0.000 0.000 0.484
Ag 0.000 0.000 0.009
Ag 0.500 0.500 0.217
In 0.500 0.500 0.791

Formation energy from the elements (kJ/mol of atoms): -18
Space-group type: P4mm, No. 99

Record 8
TlBi2H | GGA-PBE | relaxed

Unit cell a=7.060 b=7.060 c=6.596 alpha=57.64 beta=57.64 gamma=90.00
Element x y z (fractional)
H 0.500 0.500 0.000
H 0.250 0.750 0.500
Tl 0.000 0.000 0.000
Tl 0.750 0.250 0.500
Bi 0.492 0.125 0.250
Bi 0.258 0.625 0.250
Bi 0.375 0.508 0.750
Bi 0.875 0.742 0.750

Energy above the most stable polymorph in this dataset (meV per atom): 164
Space-group type: I-42d, No. 122

no.,mass density (g cm⁻³)
1,6.36
2,5.99
3,15.62
4,7.55
5,5.96
6,5.77
7,6.71
8,9.63